# 1
This record from Alexandria via LeMat-Bulk describes crystalline Tl2In8Sn3 at its relaxed geometry. The functional is PBE.

Values from the calculation:
Volume: 376.08 Å³ per cell
Formation energy from the elements: 0.040 eV/atom
Size of the total moment: 0.000 Bohr magnetons per cell
Density of states at the Fermi level: 6.7 states/eV/cell
E: -2.93 eV per atom
ΔE to the lowest computed polymorph: 0 meV/atom

```
data_Tl2In8Sn3
_chemical_formula_sum 'Tl2 In8 Sn3'
_symmetry_space_group_name_H-M 'P 1 2/m 1'
_symmetry_Int_Tables_number 10
_symmetry_space_group_name_Hall '-P 2y'
_cell_length_a 7.720
_cell_length_b 4.249
_cell_length_c 11.530
_cell_angle_alpha 90.00
_cell_angle_beta 96.11
_cell_angle_gamma 90.00
loop_
_atom_site_label
_atom_site_type_symbol
_atom_site_fract_x
_atom_site_fract_y
_atom_site_fract_z
Tl1 Tl 0.238 0.000 0.444
In1 In 0.136 0.500 0.214
In2 In 0.153 0.000 0.722
In3 In 0.421 0.000 0.148
In4 In 0.445 0.500 0.641
Sn1 Sn 0.000 0.000 0.000
Sn2 Sn 0.294 0.500 0.935
```

# 2
This record from Alexandria via LeMat-Bulk describes crystalline Ba3HgGe at its relaxed geometry. The functional is PBE.

Values from the calculation:
Volume: 823.37 Å³ per cell
Formation energy from the elements: -0.430 eV/atom
Size of the total moment: 0.000 Bohr magnetons per cell
Density of states at the Fermi level: 13.1 states/eV/cell
E: -2.57 eV per atom
ΔE to the lowest computed polymorph: 0 meV/atom

```
data_Ba3HgGe
_chemical_formula_sum 'Ba12 Hg4 Ge4'
_symmetry_space_group_name_H-M 'C m c m'
_symmetry_Int_Tables_number 63
_symmetry_space_group_name_Hall '-C 2c 2'
_cell_length_a 5.895
_cell_length_b 23.735
_cell_length_c 5.884
_cell_angle_alpha 90.00
_cell_angle_beta 90.00
_cell_angle_gamma 90.00
loop_
_atom_site_label
_atom_site_type_symbol
_atom_site_fract_x
_atom_site_fract_y
_atom_site_fract_z
Ba1 Ba 0.000 0.081 0.250
Ba2 Ba 0.000 0.250 0.250
Ba3 Ba 0.000 0.418 0.250
Hg1 Hg 0.000 0.340 0.750
Ge1 Ge 0.000 0.161 0.750
```

# 3
This record from Alexandria via LeMat-Bulk describes crystalline Ho2Zn16Ir at its relaxed geometry. The functional is PBE.

Values from the calculation:
Volume: 909.68 Å³ per cell
Formation energy from the elements: -0.246 eV/atom
Size of the total moment: 0.000 Bohr magnetons per cell
Density of states at the Fermi level: 20.6 states/eV/cell
E: -2.27 eV per atom

```
data_Ho2Zn16Ir
_chemical_formula_sum 'Ho6 Zn48 Ir3'
_symmetry_space_group_name_H-M 'R 3 m'
_symmetry_Int_Tables_number 160
_symmetry_space_group_name_Hall 'R 3 -2"'
_cell_length_a 8.9465
_cell_length_b 8.9465
_cell_length_c 13.1237
_cell_angle_alpha 90.00
_cell_angle_beta 90.00
_cell_angle_gamma 120.00
loop_
_atom_site_label
_atom_site_type_symbol
_atom_site_fract_x
_atom_site_fract_y
_atom_site_fract_z
Ho1 Ho 0.0000 0.0000 0.0000
Ho2 Ho 0.0000 0.0000 0.3352
Zn1 Zn 0.0000 0.0000 0.7632
Zn2 Zn 0.9996 0.2894 0.6592
Zn3 Zn 0.0035 0.5018 0.8108
Zn4 Zn 0.0050 0.5025 0.1600
Zn5 Zn 0.1733 0.3466 0.8448
Ir1 Ir 0.0000 0.0000 0.5604
```

# 4
This record from Alexandria via LeMat-Bulk describes crystalline YSeCl at its relaxed geometry. The functional is PBE.

Values from the calculation:
Volume: 199.76 Å³ per cell
Size of the total moment: 0.000 Bohr magnetons per cell
Density of states at the Fermi level: 0.0 states/eV/cell
E: -5.94 eV per atom
Formation energy (no corrections): -2004 meV/atom

```
data_YSeCl
_chemical_formula_sum 'Y2 Se2 Cl2'
_symmetry_space_group_name_H-M 'P -1'
_symmetry_Int_Tables_number 2
_symmetry_space_group_name_Hall '-P 1'
_cell_length_a 4.113
_cell_length_b 7.134
_cell_length_c 7.827
_cell_angle_alpha 65.13
_cell_angle_beta 75.04
_cell_angle_gamma 89.97
loop_
_atom_site_label
_atom_site_type_symbol
_atom_site_fract_x
_atom_site_fract_y
_atom_site_fract_z
Y1 Y 0.244 0.263 0.013
Se1 Se 0.366 0.688 0.764
Cl1 Cl 0.152 0.826 0.198
```

# 5
This record from Alexandria via LeMat-Bulk describes crystalline RbBa2MoPd at its relaxed geometry. The functional is PBE.

Values from the calculation:
Volume: 190.59 Å³ per cell
Formation energy from the elements: 1.079 eV/atom
Size of the total moment: 0.000 Bohr magnetons per cell
Density of states at the Fermi level: 4.2 states/eV/cell
E: -3.09 eV per atom

```
data_RbBa2MoPd
_chemical_formula_sum 'Rb1 Ba2 Mo1 Pd1'
_symmetry_space_group_name_H-M 'P 4/m m m'
_symmetry_Int_Tables_number 123
_symmetry_space_group_name_Hall '-P 4 2'
_cell_length_a 5.726
_cell_length_b 5.726
_cell_length_c 5.812
_cell_angle_alpha 90.00
_cell_angle_beta 90.00
_cell_angle_gamma 90.00
loop_
_atom_site_label
_atom_site_type_symbol
_atom_site_fract_x
_atom_site_fract_y
_atom_site_fract_z
Rb1 Rb 0.000 0.000 0.000
Ba1 Ba 0.000 0.500 0.500
Mo1 Mo 0.000 0.000 0.500
Pd1 Pd 0.500 0.500 0.000
```

# 6
This record from Alexandria via LeMat-Bulk describes crystalline Gd2ThSe at its relaxed geometry. The functional is PBE.

Values from the calculation:
Volume: 370.97 Å³ per cell
Size of the total moment: 43.230 Bohr magnetons per cell
Density of states at the Fermi level: 14.3 states/eV/cell
E: -10.30 eV per atom
ΔE to the lowest computed polymorph: 197 meV/atom
Formation energy (no corrections): -529 meV/atom

```
data_Gd2ThSe
_chemical_formula_sum 'Gd6 Th3 Se3'
_symmetry_space_group_name_H-M 'R -3 m'
_symmetry_Int_Tables_number 166
_symmetry_space_group_name_Hall '-R 3 2"'
_cell_length_a 3.6787
_cell_length_b 3.6787
_cell_length_c 31.6528
_cell_angle_alpha 90.00
_cell_angle_beta 90.00
_cell_angle_gamma 120.00
loop_
_atom_site_label
_atom_site_type_symbol
_atom_site_fract_x
_atom_site_fract_y
_atom_site_fract_z
Gd1 Gd 0.0000 0.0000 0.1072
Th1 Th 0.0000 0.0000 0.0000
Se1 Se 0.0000 0.0000 0.5000
```

# 7
This record from Alexandria via LeMat-Bulk describes crystalline SrMgGe2O6 at its relaxed geometry. The functional is PBE.

Values from the calculation:
Volume: 603.35 Å³ per cell
Size of the total moment: 0.000 Bohr magnetons per cell
Density of states at the Fermi level: 0.0 states/eV/cell
E: -6.39 eV per atom
Formation energy (no corrections): -2162 meV/atom

```
data_SrMgGe2O6
_chemical_formula_sum 'Sr4 Mg4 Ge8 O24'
_symmetry_space_group_name_H-M 'C 1 2/c 1'
_symmetry_Int_Tables_number 15
_symmetry_space_group_name_Hall '-C 2yc'
_cell_length_a 10.459
_cell_length_b 10.456
_cell_length_c 5.904
_cell_angle_alpha 90.00
_cell_angle_beta 110.85
_cell_angle_gamma 90.00
loop_
_atom_site_label
_atom_site_type_symbol
_atom_site_fract_x
_atom_site_fract_y
_atom_site_fract_z
Sr1 Sr 0.000 0.114 0.250
Mg1 Mg 0.000 0.229 0.750
Ge1 Ge 0.197 0.419 0.194
O1 O 0.107 0.280 0.079
O2 O 0.123 0.094 0.692
O3 O 0.153 0.462 0.456
```

# 8
This record from Alexandria via LeMat-Bulk describes crystalline BiSbHI2 at its relaxed geometry. The functional is PBE.

Values from the calculation:
Volume: 238.75 Å³ per cell
Size of the total moment: 2.758 Bohr magnetons per cell
Density of states at the Fermi level: 0.7 states/eV/cell
E: -2.26 eV per atom
ΔE to the lowest computed polymorph: 243 meV/atom

```
data_BiSbHI2
_chemical_formula_sum 'Bi1 Sb1 H1 I2'
_symmetry_space_group_name_H-M 'P 4/m m m'
_symmetry_Int_Tables_number 123
_symmetry_space_group_name_Hall '-P 4 2'
_cell_length_a 6.266
_cell_length_b 6.266
_cell_length_c 6.081
_cell_angle_alpha 90.00
_cell_angle_beta 90.00
_cell_angle_gamma 90.00
loop_
_atom_site_label
_atom_site_type_symbol
_atom_site_fract_x
_atom_site_fract_y
_atom_site_fract_z
Bi1 Bi 0.000 0.000 0.000
Sb1 Sb 0.000 0.000 0.500
H1 H 0.500 0.500 0.500
I1 I 0.000 0.500 0.000
```

> Which value of volume does entry 3 give?

909.68 Å³ per cell